(1)
DFT (PBE) results for a relaxed NdTh2Np crystal.

As for the energy relative to the elements: 882 meV per atom. The calculation puts the magnetic moment at 0.00 μB/cell. The calculation puts the raw total energy at -7.255 eV per atom.

Lattice parameters (Å, degrees): 10.6422 10.6422 10.6422 20.38 20.38 20.38
Last column: nearest neighbours and their distance in Å.
Fractional coordinates of all 4 atoms:
Nd1 0.0000 0.0000 0.0000  2 Th 3.53, 6 Nd 3.77
Th1 0.1129 0.1129 0.1129  3 Np 2.75
Th2 0.8871 0.8871 0.8871  3 Np 2.75
Np1 0.5000 0.5000 0.5000  6 Th 2.75

---

(2)
DFT (PBE) results for a relaxed NdNpZn17 crystal.

As for the energy relative to the elements: -154 meV per atom. The calculation puts the magnetic moment at 4.17 μB/cell. The calculation puts the raw total energy at -2.226 eV per atom.

Lattice parameters (Å, degrees): 6.8235 6.8235 6.8235 82.70 82.70 82.70
Last column: nearest neighbours and their distance in Å.
Fractional coordinates of all 19 atoms:
Nd1 0.0000 0.0000 0.0000  19 Zn 3.15-3.45
Np1 0.3292 0.3292 0.3292  16 Zn 3.09-3.43
Zn1 0.0193 0.0193 0.4995  8 Zn 2.56-2.78
Zn2 0.0193 0.4995 0.0193  8 Zn 2.56-2.78
Zn3 0.1638 0.6643 0.6643  10 Zn 2.59-2.76
Zn4 0.3138 0.3138 0.8212  9 Zn 2.56-2.85
Zn5 0.3138 0.8212 0.3138  9 Zn 2.56-2.85
Zn6 0.3697 0.6630 0.9599  8 Zn 2.59-2.78
Zn7 0.3697 0.9599 0.6630  8 Zn 2.59-2.78
Zn8 0.4995 0.0193 0.0193  8 Zn 2.56-2.78
Zn9 0.5629 0.5629 0.5629  7 Zn 2.63-2.85
Zn10 0.6630 0.3697 0.9599  8 Zn 2.59-2.78
Zn11 0.6630 0.9599 0.3697  8 Zn 2.59-2.78
Zn12 0.6643 0.1638 0.6643  10 Zn 2.59-2.76
Zn13 0.6643 0.6643 0.1638  10 Zn 2.59-2.76
Zn14 0.7619 0.7619 0.7619  7 Zn 2.63-2.93
Zn15 0.8212 0.3138 0.3138  9 Zn 2.56-2.85
Zn16 0.9599 0.3697 0.6630  8 Zn 2.59-2.78
Zn17 0.9599 0.6630 0.3697  8 Zn 2.59-2.78

---

(3)
DFT (PBE) results for a relaxed Nd2NpZn crystal.

As for the energy relative to the elements: 453 meV per atom. The calculation puts the magnetic moment at 4.94 μB/cell. The calculation puts the raw total energy at -5.485 eV per atom.

Lattice parameters (Å, degrees): 11.8060 11.8060 11.8060 16.49 16.49 16.49
Last column: nearest neighbours and their distance in Å.
Fractional coordinates of all 4 atoms:
Nd1 0.0973 0.0973 0.0973  3 Zn 3.11, 6 Nd 3.39, 1 Np 3.40
Nd2 0.9027 0.9027 0.9027  3 Zn 3.11, 6 Nd 3.39, 1 Np 3.40
Np1 0.0000 0.0000 0.0000  6 Np 3.39, 2 Nd 3.40
Zn1 0.5000 0.5000 0.5000  6 Nd 3.11, 6 Zn 3.39

---

> What is the energy relative to the elements in the third record?

453 meV per atom